Below is a relaxed MgReTc2 crystal, with properties calculated at the PBEsol level.

```
MgReTc2
1.0
2.7637 0.0000 0.0000
1.3818 2.3934 0.0000
1.3818 0.7978 9.0830
Mg Tc Re
1 2 1
Cartesian
2.7637 1.5956 4.5415
4.1455 2.3934 6.9393
1.3818 0.7978 2.1437
0.0000 0.0000 0.0000
```

## Properties
- formation enthalpy at 0 K (eV/atom) = 0.180
- crystal system = trigonal



Below is a relaxed BaTlI2N crystal, with properties calculated at the PBEsol level.

```
BaTlI2N
1.0
5.0415 0.0000 0.0000
0.0000 6.6651 0.0000
0.0000 0.0000 6.6651
I Tl Ba N
2 1 1 1
Cartesian
0.0000 3.3325 0.0000
0.0000 0.0000 3.3325
2.5208 3.3325 3.3325
0.0000 0.0000 0.0000
2.5208 0.0000 0.0000
```

## Properties
- formation energy from raw total energies (eV per formula unit) = -0.20
- crystal system = tetragonal



Below is a relaxed V2Cu3O9 crystal, with properties calculated at the PBEsol level.

```
V2Cu3O9
1.0
6.4871 0.0000 0.0000
0.0000 7.4022 0.0375
0.0000 -0.4301 7.6040
Cu O V
6 18 4
Cartesian
0.0000 0.0000 0.0000
1.6218 4.5898 6.9596
4.8653 0.9182 5.3210
1.6218 6.0539 2.3204
3.2436 0.0000 0.0000
4.8653 2.3823 0.6819
4.8653 0.3163 7.1045
0.1960 1.6931 0.8329
6.2602 6.2500 2.3120
4.8653 2.9636 6.4122
6.2912 5.2790 6.8086
4.8653 4.8856 4.3680
1.6218 3.0927 5.8592
0.2269 0.7222 5.3295
1.6218 5.4879 3.9659
4.8653 1.4843 3.6755
3.4705 6.2500 2.3120
3.0476 1.6931 0.8329
1.6218 4.0086 1.2292
3.0166 0.7222 5.3295
1.6218 2.0866 3.2735
4.8653 3.8794 1.7822
1.6218 6.6558 0.5369
3.4395 5.2790 6.8086
1.6218 2.3950 1.5460
4.8653 4.5771 6.0954
4.8653 5.2982 2.6538
1.6218 1.6740 4.9877
```

## Properties
- formation energy from raw total energies (eV per formula unit) = -17.73
- crystal system = monoclinic



Below is a relaxed LaMnFeSi2 crystal, with properties calculated at the PBEsol level.

```
LaMnFeSi2
1.0
3.9665 0.0000 0.0000
0.0000 3.9665 0.0000
-1.9832 -1.9832 5.1276
La Si Fe Mn
1 2 1 1
Cartesian
0.0000 0.0000 0.0000
0.0000 0.0000 3.7759
1.9832 1.9832 1.3517
0.0000 1.9832 2.5638
1.9832 0.0000 2.5638
```

## Properties
- formation energy from raw total energies (eV per formula unit) = -2.94
- crystal system = tetragonal



Below is a relaxed CrGeSeBr2 crystal, with properties calculated at the PBEsol level.

```
CrGeSeBr2
1.0
-2.7646 2.6245 -3.2713
1.3601 -3.2433 -3.7515
-4.0722 -2.9504 1.0744
Br Se Cr Ge
2 1 1 1
Cartesian
-2.0361 -1.4752 0.5372
0.6800 -1.6217 -1.8757
-1.3823 1.3122 -1.6356
-2.7383 -1.7846 -2.9742
0.0000 0.0000 0.0000
```

## Properties
- formation energy from raw total energies (eV per formula unit) = 1.72
- ΔE to the lowest computed polymorph (meV per atom) = 299.2
- crystal system = tetragonal



Below is a relaxed NiOsRu3 crystal, with properties calculated at the PBEsol level.

```
NiOsRu3
1.0
-1.0526 -3.2146 -2.5688
-0.2046 -2.6073 3.3466
-4.1097 0.9531 0.4913
Ru Os Ni
3 1 1
Cartesian
-2.0549 0.4766 0.2457
-0.5263 -1.6073 -1.2844
-0.1023 -1.3037 1.6733
-2.6835 -2.4344 0.6346
0.0000 0.0000 0.0000
```

## Properties
- formation enthalpy at 0 K (eV/atom) = 1.878
- ΔE to the lowest computed polymorph (meV per atom) = 0.0
- crystal system = cubic



no.,DOS(E_F) (states/eV/cell),M_tot (Bohr magnetons per cell)
1,3.5,0.0
2,1.9,2.0
3,4.3,2.0
4,2.7,2.5
5,4.9,4.6
6,8.1,0.8